Record 1
Mn2AlPd2: relaxed, PBE.

Cell lengths 7.578, 7.578, 7.578 Å; angles 156.32, 156.32, 33.73 degrees
Positions (direct):
Mn  0.250  0.750  0.500
Mn  0.750  0.250  0.500
Al  0.000  0.000  0.000
Pd  0.402  0.402  0.000
Pd  0.598  0.598  0.000

Output
distance to the lowest polymorph of the same formula: 77 meV/atom
ρ: 8.28 g cm⁻³
E_tot: -6.5683 eV per atom
space group: I4/mmm
DFT formation energy: -74.8 meV/atom



Record 2
MnAl5Pd4: relaxed, PBE.

Cell lengths 3.027, 3.027, 15.632 Å; angles 90.00, 90.00, 90.00 degrees
Positions (direct):
Mn  0.000  0.000  0.000
Al  0.500  0.500  0.098
Al  0.500  0.500  0.300
Al  0.500  0.500  0.500
Al  0.500  0.500  0.700
Al  0.500  0.500  0.902
Pd  0.000  0.000  0.199
Pd  0.000  0.000  0.399
Pd  0.000  0.000  0.601
Pd  0.000  0.000  0.801

Output
ρ: 7.14 g cm⁻³
E_tot: -5.5939 eV per atom
space group: P4/mmm
DFT formation energy: -728.5 meV/atom



Record 3
Mn2AlPd5: relaxed, PBE.

Cell lengths 5.457, 10.690, 4.091 Å; angles 90.00, 90.00, 90.00 degrees
Positions (direct):
Mn  0.185  0.139  0.000
Mn  0.315  0.639  0.000
Mn  0.685  0.361  0.000
Mn  0.815  0.861  0.000
Al  0.000  0.500  0.500
Al  0.500  0.000  0.500
Pd  0.000  0.000  0.500
Pd  0.070  0.740  0.500
Pd  0.191  0.392  0.000
Pd  0.309  0.892  0.000
Pd  0.430  0.240  0.500
Pd  0.500  0.500  0.500
Pd  0.570  0.760  0.500
Pd  0.691  0.108  0.000
Pd  0.809  0.608  0.000
Pd  0.930  0.260  0.500

Output
ρ: 9.31 g cm⁻³
E_tot: -6.4984 eV per atom
space group: Pbam
DFT formation energy: -492.7 meV/atom



Record 4
Mn3AlPd: relaxed, PBE.

Cell lengths 4.800, 4.800, 4.800 Å; angles 90.00, 90.00, 90.00 degrees
Positions (direct):
Mn  0.000  0.000  0.500
Mn  0.000  0.500  0.000
Mn  0.500  0.000  0.000
Al  0.500  0.500  0.500
Pd  0.000  0.000  0.000

Output
distance to the lowest polymorph of the same formula: 0 meV/atom
ρ: 4.48 g cm⁻³
E_tot: -6.3811 eV per atom
space group: Pm-3m
DFT formation energy: 907.7 meV/atom